## LaTm2PuSb4 (PBE)

Data for a relaxed structure of LaTm2PuSb4.

The mass density is 8.1 g cm⁻³. The formation energy from raw total energies comes out at -0.986 eV per atom.

It has space group P2/m (No. 10), with a = 7.663 Å, b = 4.446 Å, c = 7.691 Å, α = 90.00°, β = 109.55° and γ = 90.00°. The inequivalent atoms are La at (0.000, 0.000, 0.000), Tm at (0.500, 0.000, 0.500), Tm at (0.500, 0.500, 0.000), Pu at (0.000, 0.500, 0.500), Sb at (0.259, 0.000, 0.748) and Sb at (0.263, 0.500, 0.260).